1.
CoPRu after structural relaxation. Source: Alexandria, functional PBE.

Output
Total magnetization in μB per cell: 1.614
Total energy in eV per formula unit: -22.3
Space group: Amm2 (38)
ΔH_f (0 K) in meV/atom: -178

abc: 3.572 2.886 7.647
angles: 90.00 90.00 90.00
Each line ends with the local moment (μB).
Positions (direct):
P (0.970, 0.000, 0.556)  -0.02
Ru (0.470, 0.000, 0.974)  0.20
P (0.970, 0.500, 0.056)  -0.02
Co (0.970, 0.000, 0.264)  0.66
Ru (0.470, 0.500, 0.474)  0.20
Co (0.970, 0.500, 0.764)  0.66

=====

2.
PmTmSc6 after structural relaxation. Source: Alexandria, functional PBE.

Output
Total magnetization in μB per cell: 1.985
Total energy in eV per formula unit: -47.0
Energy relative to the lowest polymorph listed for this composition in eV/atom: 0.0000
Space group: P-6m2 (187)
ΔH_f (0 K) in meV/atom: 26

abc: 5.309 6.786 6.786
angles: 120.00 90.00 90.00
Each line ends with the local moment (μB).
Positions (direct):
Sc (0.000, 0.587, 0.413)  0.14
Sc (0.500, 0.425, 0.088)  0.16
Sc (0.000, 0.076, 0.413)  0.14
Sc (0.500, 0.912, 0.088)  0.16
Sc (0.000, 0.587, 0.924)  0.14
Sc (0.500, 0.912, 0.575)  0.16
Pm (0.000, 0.083, 0.917)  0.09
Tm (0.500, 0.417, 0.583)  0.21